VASP calculation (GGA-PBE) on crystalline Sc3CoOs at its relaxed geometry.

Geometry as extended XYZ:
```
5
Lattice="-2.591 2.260 -3.585 -0.980 -4.408 -2.070 -4.123 -0.373 2.745" Properties=species:S:1:pos:R:3 pbc="T T T"
Sc -0.490 -2.204 -1.035
Sc -1.296 1.130 -1.792
Sc -2.062 -0.186 1.373
Os 0.000 0.000 0.000
Co -3.847 -1.260 -1.455
```

Results
SG: Pm-3m, No. 221
Raw total energy, eV for the cell shown: -35.1
Energy relative to the elements, eV/atom: 0.439